Material: LiTeAs
Method: DFT, PBE-GGA
State: optimized geometry

The calculation puts the uncorrected formation energy at -0.1884 eV/atom. As for the total energy: -3.423 eV per atom. The calculation puts the magnetic moment at 0.0 μB/cell.

Cell: 6.4342 6.4342 6.4342 Å, 90.00 90.00 90.00°
With the nearest neighbours (Å) after each atom.
Space group F-43m (No. 216)
One atom of each set of equivalent atoms:
Li1 0.0000 0.0000 0.0000 x4  4 As 2.79, 4 Te 2.79
Te1 0.2500 0.2500 0.2500 x4  4 Li 2.79
As1 0.2500 0.2500 0.7500 x4  4 Li 2.79